A relaxed NiRhN2F crystal, computed with GGA+U.

abc: 3.7268 3.7268 4.9100
angles: 90.00 90.00 90.00
With the nearest neighbours (Å) after each atom.
Fractional coordinates of all 5 atoms:
Ni1 0.0000 0.0000 0.0000  4 F 2.64
Rh1 0.5000 0.5000 0.5000  4 N 1.86
N1 0.0000 0.5000 0.5000  2 Rh 1.86
N2 0.5000 0.0000 0.5000  2 Rh 1.86
F1 0.5000 0.5000 0.0000  2 Rh 2.46, 4 Ni 2.64

Properties
Density: 5.079 g/cm³
Uncorrected energy: -4.842 eV per atom
SG: No. 123